Computed, not measured: a relaxed structure of TmCd4Hg at the PBE level of DFT.

Cell lengths 6.041, 6.100, 9.108 Å; angles 90.00, 90.00, 90.00 degrees
Space group Cmmm (No. 65)
One atom of each set of equivalent atoms:
1 Tm 0.000 0.000 0.000 x2
2 Cd 0.250 0.250 0.256 x8
3 Hg 0.000 0.500 0.500 x2

## Properties
The formation energy comes out at 45.4 meV per atom. The excess energy over the best structure of this formula in the dataset is 0.205 eV/atom.

---

Computed, not measured: a relaxed structure of TmCd3Hg at the PBE level of DFT.

Cell lengths 4.917, 29.929, 3.346 Å; angles 90.00, 90.00, 90.00 degrees
Space group Cmmm (No. 65)
One atom of each set of equivalent atoms:
1 Tm 0.000 0.174 0.000 x4
2 Cd 0.000 0.074 0.500 x4
3 Cd 0.000 0.271 0.500 x4
4 Cd 0.000 0.453 0.000 x4
5 Hg 0.000 0.367 0.500 x4

## Properties
The formation energy comes out at -126.5 meV per atom. The excess energy over the best structure of this formula in the dataset is 0.010 eV/atom.

---

Computed, not measured: a relaxed structure of Tm6CdHg5 at the PBE level of DFT.

Cell lengths 5.183, 15.634, 7.354 Å; angles 90.00, 90.00, 90.00 degrees
Space group Cmmm (No. 65)
One atom of each set of equivalent atoms:
1 Tm 0.000 0.000 0.247 x4
2 Tm 0.000 0.332 0.250 x8
3 Cd 0.000 0.500 0.500 x2
4 Hg 0.000 0.162 0.500 x4
5 Hg 0.000 0.166 0.000 x4
6 Hg 0.000 0.500 0.000 x2

## Properties
The formation energy comes out at -451.3 meV per atom.

---

Computed, not measured: a relaxed structure of Tm2Cd2Hg3 at the PBE level of DFT.

Cell lengths 8.574, 4.951, 8.812 Å; angles 90.00, 108.81, 90.00 degrees
Space group C2/m (No. 12)
One atom of each set of equivalent atoms:
1 Tm 0.117 0.000 0.350 x4
2 Cd 0.132 0.500 0.897 x4
3 Hg 0.000 0.500 0.500 x2
4 Hg 0.249 0.500 0.246 x4

## Properties
The formation energy comes out at -243.6 meV per atom.

---

Computed, not measured: a relaxed structure of Tm3Cd2Hg7 at the PBE level of DFT.

Cell lengths 5.901, 3.455, 14.580 Å; angles 90.00, 97.66, 90.00 degrees
Space group P2/m (No. 10)
One atom of each set of equivalent atoms:
1 Tm 0.000 0.000 0.000 x1
2 Tm 0.054 0.500 0.661 x2
3 Cd 0.436 0.000 0.324 x2
4 Hg 0.216 0.500 0.166 x2
5 Hg 0.247 0.000 0.501 x2
6 Hg 0.272 0.000 0.829 x2
7 Hg 0.500 0.500 0.000 x1

## Properties
The formation energy comes out at -228.4 meV per atom. The excess energy over the best structure of this formula in the dataset is 0.000 eV/atom.

---

Computed, not measured: a relaxed structure of TmCdHg2 at the PBE level of DFT.

Cell lengths 4.747, 4.747, 4.203 Å; angles 90.00, 90.00, 90.00 degrees
Space group P4/mmm (No. 123)
One atom of each set of equivalent atoms:
1 Tm 0.000 0.000 0.000 x1
2 Cd 0.500 0.500 0.000 x1
3 Hg 0.000 0.500 0.500 x2

## Properties
The formation energy comes out at -283.4 meV per atom. The excess energy over the best structure of this formula in the dataset is 0.043 eV/atom.

---

Computed, not measured: a relaxed structure of Tm4Cd3Hg at the PBE level of DFT.

Cell lengths 3.695, 3.695, 14.729 Å; angles 90.00, 90.00, 90.00 degrees
Space group P4/mmm (No. 123)
One atom of each set of equivalent atoms:
1 Tm 0.000 0.000 0.123 x2
2 Tm 0.000 0.000 0.374 x2
3 Cd 0.500 0.500 0.250 x2
4 Cd 0.500 0.500 0.500 x1
5 Hg 0.500 0.500 0.000 x1

## Properties
The formation energy comes out at -352.1 meV per atom. The excess energy over the best structure of this formula in the dataset is 0.000 eV/atom.

---

Computed, not measured: a relaxed structure of Tm2Cd3Hg8 at the PBE level of DFT.

Cell lengths 13.663, 8.037, 6.266 Å; angles 90.00, 99.18, 90.00 degrees
Space group C2/m (No. 12)
One atom of each set of equivalent atoms:
1 Tm 0.209 0.000 0.301 x4
2 Cd 0.000 0.000 0.500 x2
3 Cd 0.000 0.181 0.000 x4
4 Hg 0.103 0.500 0.899 x4
5 Hg 0.116 0.316 0.427 x8
6 Hg 0.191 0.000 0.811 x4

## Properties
The formation energy comes out at -104.5 meV per atom.

---

Computed, not measured: a relaxed structure of Tm2CdHg5 at the PBE level of DFT.

Cell lengths 5.036, 5.036, 15.068 Å; angles 90.00, 90.00, 90.00 degrees
Space group I4/mmm (No. 139)
One atom of each set of equivalent atoms:
1 Tm 0.000 0.000 0.250 x4
2 Cd 0.000 0.000 0.000 x2
3 Hg 0.000 0.000 0.500 x2
4 Hg 0.000 0.500 0.126 x8

## Properties
The formation energy comes out at -232.7 meV per atom.

---

Computed, not measured: a relaxed structure of TmCdHg2 at the PBE level of DFT.

Cell lengths 7.164, 7.164, 7.164 Å; angles 90.00, 90.00, 90.00 degrees
Space group Fm-3m (No. 225)
One atom of each set of equivalent atoms:
1 Tm 0.000 0.000 0.000 x4
2 Cd 0.000 0.000 0.500 x4
3 Hg 0.250 0.250 0.250 x8

## Properties
The formation energy comes out at -326.0 meV per atom. The excess energy over the best structure of this formula in the dataset is 0.000 eV/atom.

---

Computed, not measured: a relaxed structure of Tm2Cd12Hg5 at the PBE level of DFT.

Cell lengths 16.733, 6.597, 9.200 Å; angles 90.00, 104.18, 90.00 degrees
Space group C2/m (No. 12)
One atom of each set of equivalent atoms:
1 Tm 0.000 0.245 0.000 x4
2 Cd 0.029 0.000 0.341 x4
3 Cd 0.093 0.500 0.281 x4
4 Cd 0.142 0.245 0.618 x8
5 Cd 0.206 0.273 0.129 x8
6 Hg 0.000 0.500 0.500 x2
7 Hg 0.129 0.000 0.886 x4
8 Hg 0.210 0.000 0.396 x4

## Properties
The formation energy comes out at 26.1 meV per atom.

---

Computed, not measured: a relaxed structure of TmCdHg5 at the PBE level of DFT.

Cell lengths 4.882, 4.882, 7.341 Å; angles 90.00, 90.00, 90.00 degrees
Space group P4/mmm (No. 123)
One atom of each set of equivalent atoms:
1 Tm 0.000 0.000 0.000 x1
2 Cd 0.000 0.000 0.500 x1
3 Hg 0.000 0.500 0.274 x4
4 Hg 0.500 0.500 0.000 x1

## Properties
The formation energy comes out at -163.2 meV per atom.